1.
This record from Alexandria via LeMat-Bulk describes a geometry-optimized AcHfBi2 structure. The functional is PBE.

formation enthalpy at 0 K	-290	meV per atom
VASP energy	-0.422	Ry per atom
total magnetic moment	0.32	μB per formula unit
space group	No. 123
mass density	11.5	g cm⁻³

a = 3.8021 Å, b = 3.8021 Å, c = 8.2344 Å
α = 90.00°, β = 90.00°, γ = 90.00°
Last column: magnetic moment on the atom in μB.
Fractional coordinates of all 4 atoms:
Ac1 0.5000 0.5000 0.5000  0.07
Hf1 0.5000 0.5000 0.0000  0.09
Bi1 0.0000 0.0000 0.2104  -0.01
Bi2 0.0000 0.0000 0.7896  -0.01

2.
This record from Alexandria via LeMat-Bulk describes a geometry-optimized PaAlCo structure. The functional is PBE.

formation enthalpy at 0 K	-427	meV per atom
VASP energy	-0.530	Ry per atom
total magnetic moment	0.00	μB per formula unit
space group	No. 63
mass density	10.0	g cm⁻³

a = 4.1129 Å, b = 5.2779 Å, c = 5.2547 Å
α = 90.00°, β = 90.00°, γ = 112.93°
Fractional coordinates of all 6 atoms:
Pa1 0.2032 0.4065 0.7500
Pa2 0.7968 0.5935 0.2500
Al1 0.5000 0.0000 0.0000
Al2 0.5000 0.0000 0.5000
Co1 0.0999 0.1999 0.2500
Co2 0.9001 0.8001 0.7500

3.
This record from Alexandria via LeMat-Bulk describes a geometry-optimized NaHPd2Se structure. The functional is PBE.

VASP energy	-0.289	Ry per atom
total magnetic moment	0.00	μB per formula unit
space group	No. 123
mass density	7.4	g cm⁻³

a = 4.0313 Å, b = 4.0313 Å, c = 4.3499 Å
α = 90.00°, β = 90.00°, γ = 90.00°
Fractional coordinates of all 5 atoms:
Na1 0.0000 0.0000 0.5000
Pd1 0.0000 0.5000 0.0000
Pd2 0.5000 0.0000 0.0000
Se1 0.5000 0.5000 0.5000
H1 0.0000 0.0000 0.0000

4.
This record from Alexandria via LeMat-Bulk describes a geometry-optimized In2SnB2Rh5 structure. The functional is PBE.

formation enthalpy at 0 K	-342	meV per atom
VASP energy	-0.463	Ry per atom
total magnetic moment	0.00	μB per formula unit
space group	No. 127
mass density	10.2	g cm⁻³

a = 3.0794 Å, b = 9.6836 Å, c = 9.6836 Å
α = 90.00°, β = 90.00°, γ = 90.00°
Fractional coordinates of all 20 atoms:
B1 0.0000 0.8780 0.3780
B2 0.0000 0.6220 0.8780
B3 0.0000 0.1220 0.6220
B4 0.0000 0.3780 0.1220
Rh1 0.5000 0.2231 0.0729
Rh2 0.5000 0.2769 0.5729
Rh3 0.5000 0.0000 0.5000
Rh4 0.5000 0.7231 0.4271
Rh5 0.5000 0.7769 0.9271
Rh6 0.5000 0.4271 0.2769
Rh7 0.5000 0.5000 0.0000
Rh8 0.5000 0.9271 0.2231
Rh9 0.5000 0.0729 0.7769
Rh10 0.5000 0.5729 0.7231
Sn1 0.0000 0.0000 0.0000
Sn2 0.0000 0.5000 0.5000
In1 0.0000 0.3239 0.8239
In2 0.0000 0.8239 0.6761
In3 0.0000 0.1761 0.3239
In4 0.0000 0.6761 0.1761

5.
This record from Alexandria via LeMat-Bulk describes a geometry-optimized ScB2AsC structure. The functional is PBE.

formation enthalpy at 0 K	2202	meV per atom
VASP energy	-0.331	Ry per atom
total magnetic moment	0.00	μB per formula unit
space group	No. 123
mass density	3.1	g cm⁻³

a = 4.4192 Å, b = 4.1675 Å, c = 4.4192 Å
α = 90.00°, β = 90.00°, γ = 90.00°
Fractional coordinates of all 5 atoms:
C1 0.0000 0.5000 0.0000
Sc1 0.0000 0.0000 0.0000
B1 0.5000 0.0000 0.0000
B2 0.0000 0.0000 0.5000
As1 0.5000 0.5000 0.5000

6.
This record from Alexandria via LeMat-Bulk describes a geometry-optimized Mg4AlZn4 structure. The functional is PBE.

formation enthalpy at 0 K	-13	meV per atom
VASP energy	-0.125	Ry per atom
total magnetic moment	0.00	μB per formula unit
space group	No. 8
mass density	3.7	g cm⁻³

a = 6.0544 Å, b = 6.7085 Å, c = 6.0544 Å
α = 76.62°, β = 89.15°, γ = 131.12°
Fractional coordinates of all 9 atoms:
Mg1 0.1547 0.7933 0.3614
Mg2 0.4832 0.2490 0.6414
Mg3 0.8904 0.2490 0.2342
Mg4 0.5182 0.7494 0.7687
Al1 0.9818 0.9771 0.0047
Zn1 0.9857 0.6535 0.8401
Zn2 0.4925 0.3534 0.1391
Zn3 0.4936 0.6534 0.3322
Zn4 0.0000 0.3218 0.6782